1.
Density functional theory data (PBEsol) for a geometry-optimized LiAgPt2 structure.

Cell lengths 2.787, 4.573, 5.302 Å; angles 115.55, 105.24, 90.00 degrees
Fractional positions:
Pt: 0.762 0.762 0.523
Pt: 0.238 0.238 0.477
Ag: 0.000 0.500 0.000
Li: 0.500 0.000 0.000

Summary:
Energy relative to the lowest polymorph listed for this composition = 0.019 eV/atom
Calculated volume = 14.582 A^3/atom
DOS(E_F) = 1.2 states/eV/cell

2.
Density functional theory data (PBEsol) for a geometry-optimized MnIn2Te4 structure.

Cell lengths 6.163, 6.163, 7.492 Å; angles 114.29, 114.29, 90.00 degrees
Each line ends with the local moment (μB).
Fractional positions:
Te: 0.334 0.334 0.211  0.03
Te: 0.124 0.666 0.789  0.03
Te: 0.876 0.876 0.211  0.03
Te: 0.666 0.124 0.789  0.03
Mn: 0.500 0.500 0.000  4.11
In: 0.250 0.750 0.500  0.04
In: 0.750 0.250 0.500  0.04

Summary:
Calculated volume = 33.069 A^3/atom
ΔE_f (raw) = -17 kJ per mole of atoms
DOS(E_F) = 0.5 states/eV/cell

3.
Density functional theory data (PBEsol) for a geometry-optimized Li5V3Cr2O10 structure.

Cell lengths 5.046, 4.885, 7.535 Å; angles 70.44, 70.91, 80.08 degrees
Each line ends with the local moment (μB).
Fractional positions:
Li: 0.000 0.500 0.500  0.00
Li: 0.501 0.788 0.414  0.00
Li: 0.499 0.212 0.586  0.00
Li: 0.523 0.611 0.767  0.00
Li: 0.477 0.389 0.233  0.00
V: 0.500 0.000 0.000  1.25
V: 0.002 0.337 0.903  -0.78
V: 0.998 0.663 0.097  -0.78
Cr: 0.998 0.888 0.704  2.19
Cr: 0.002 0.112 0.296  2.19
O: 0.232 0.962 0.858  0.02
O: 0.768 0.038 0.142  0.02
O: 0.724 0.654 0.954  0.00
O: 0.276 0.346 0.046  0.00
O: 0.776 0.870 0.544  0.02
O: 0.224 0.130 0.456  0.02
O: 0.233 0.755 0.236  0.01
O: 0.767 0.245 0.764  0.01
O: 0.246 0.552 0.660  0.00
O: 0.754 0.448 0.340  0.00

Summary:
Calculated volume = 8.249 A^3/atom
ΔE_f (raw) = -208 kJ per mole of atoms
DOS(E_F) = 6.5 states/eV/cell

4.
Density functional theory data (PBEsol) for a geometry-optimized CaAsPd structure.

Cell lengths 4.328, 7.032, 7.540 Å; angles 90.00, 90.00, 90.00 degrees
Fractional positions:
As: 0.250 0.703 0.598
As: 0.750 0.797 0.098
As: 0.750 0.297 0.402
As: 0.250 0.203 0.902
Ca: 0.250 0.998 0.302
Ca: 0.750 0.002 0.698
Ca: 0.250 0.498 0.198
Ca: 0.750 0.502 0.802
Pd: 0.750 0.179 0.077
Pd: 0.750 0.679 0.423
Pd: 0.250 0.321 0.577
Pd: 0.250 0.821 0.923

Summary:
Calculated volume = 19.123 A^3/atom
Raw total energy = -5.38 eV/atom
DOS(E_F) = 6.0 states/eV/cell

5.
Density functional theory data (PBEsol) for a geometry-optimized K2CdI2 structure.

Cell lengths 6.509, 6.509, 7.649 Å; angles 115.18, 115.18, 90.00 degrees
Fractional positions:
I: 0.325 0.325 0.650
I: 0.675 0.675 0.350
K: 0.250 0.750 0.500
K: 0.750 0.250 0.500
Cd: 0.000 0.000 0.000

Summary:
Calculated volume = 51.765 A^3/atom
ΔE_f (raw) = -81 kJ per mole of atoms
DOS(E_F) = 0.0 states/eV/cell

6.
Density functional theory data (PBEsol) for a geometry-optimized Sb6O13 structure.

Cell lengths 7.329, 7.345, 10.240 Å; angles 90.00, 90.89, 90.00 degrees
Fractional positions:
Sb: 0.264 0.250 0.729
Sb: 0.500 0.500 0.000
Sb: 0.500 0.000 0.000
Sb: 0.736 0.750 0.271
Sb: 0.000 0.500 0.000
Sb: 0.239 0.750 0.747
Sb: 0.254 0.250 0.252
Sb: 0.500 0.500 0.500
Sb: 0.500 0.000 0.500
Sb: 0.746 0.750 0.748
Sb: 0.761 0.250 0.253
Sb: 0.000 0.000 0.000
O: 0.313 0.450 0.370
O: 0.547 0.750 0.130
O: 0.509 0.250 0.165
O: 0.694 0.454 0.368
O: 0.784 0.557 0.886
O: 0.784 0.943 0.886
O: 0.799 0.452 0.126
O: 0.003 0.750 0.072
O: 0.997 0.250 0.928
O: 0.993 0.750 0.683
O: 0.201 0.548 0.874
O: 0.201 0.952 0.874
O: 0.216 0.443 0.114
O: 0.313 0.050 0.370
O: 0.306 0.546 0.632
O: 0.306 0.954 0.632
O: 0.478 0.250 0.581
O: 0.491 0.750 0.835
O: 0.522 0.750 0.419
O: 0.694 0.046 0.368
O: 0.687 0.550 0.630
O: 0.687 0.950 0.630
O: 0.799 0.048 0.126
O: 0.007 0.250 0.317
O: 0.216 0.057 0.114
O: 0.453 0.250 0.870

Summary:
Energy relative to the lowest polymorph listed for this composition = 0.000 eV/atom
Calculated volume = 14.504 A^3/atom
ΔE_f (raw) = -129 kJ per mole of atoms

7.
Density functional theory data (PBEsol) for a geometry-optimized TaPSCl2 structure.

Cell lengths 4.494, 4.494, 4.693 Å; angles 90.00, 90.00, 90.00 degrees
Each line ends with the local moment (μB).
Fractional positions:
P: 0.000 0.000 0.500  -0.10
S: 0.000 0.000 0.000  -0.01
Cl: 0.000 0.500 0.000  -0.02
Cl: 0.500 0.000 0.000  -0.02
Ta: 0.500 0.500 0.500  1.70

Summary:
Calculated volume = 18.957 A^3/atom
ΔE_f (raw) = 102 kJ per mole of atoms
DOS(E_F) = 4.4 states/eV/cell

8.
Density functional theory data (PBEsol) for a geometry-optimized TaRhAu2 structure.

Cell lengths 2.861, 2.861, 9.320 Å; angles 81.17, 81.17, 60.00 degrees
Fractional positions:
Au: 0.998 0.998 0.005
Au: 0.752 0.752 0.744
Rh: 0.504 0.504 0.489
Ta: 0.246 0.246 0.261

Summary:
Energy relative to the lowest polymorph listed for this composition = 0.153 eV/atom
Calculated volume = 16.260 A^3/atom
DOS(E_F) = 2.5 states/eV/cell

9.
Density functional theory data (PBEsol) for a geometry-optimized AlCu2Ni structure.

Cell lengths 2.615, 2.615, 8.121 Å; angles 80.73, 80.73, 60.00 degrees
Fractional positions:
Al: 0.247 0.247 0.258
Cu: 0.000 0.000 0.999
Cu: 0.751 0.751 0.746
Ni: 0.501 0.501 0.497

Summary:
Calculated volume = 11.815 A^3/atom
Raw total energy = -4.83 eV/atom
DOS(E_F) = 1.8 states/eV/cell

10.
Density functional theory data (PBEsol) for a geometry-optimized BaNaY3 structure.

Cell lengths 5.777, 5.777, 5.777 Å; angles 90.00, 90.00, 90.00 degrees
Fractional positions:
Y: 0.000 0.500 0.000
Y: 0.000 0.000 0.500
Y: 0.500 0.000 0.000
Na: 0.500 0.500 0.500
Ba: 0.000 0.000 0.000

Summary:
Energy relative to the lowest polymorph listed for this composition = 0.234 eV/atom
Calculated volume = 38.556 A^3/atom
DOS(E_F) = 1.9 states/eV/cell